# La5Tl2Si PBE optimized geometry
# * total magnetic moment: 0.0 μB/f.u.
# * uncorrected formation energy: -40.7 kJ per mole of atoms
# * DOS at the Fermi energy: 0.8553 states/eV per atom
data_La5Tl2Si
_cell_length_a 6.9729
_cell_length_b 13.4549
_cell_length_c 5.3617
_cell_angle_alpha 90.00
_cell_angle_beta 90.00
_cell_angle_gamma 90.00
_space_group_name_H-M_alt 'P b a m'
_space_group_IT_number 55
loop_
_space_group_symop_operation_xyz
'x,y,z'
'-x,-y,-z'
'-x,-y,z'
'x,y,-z'
'x+1/2,-y+1/2,-z'
'-x+1/2,y+1/2,z'
'-x+1/2,y+1/2,-z'
'x+1/2,-y+1/2,z'
loop_
_atom_site_label
_atom_site_fract_x
_atom_site_fract_y
_atom_site_fract_z
La1 0.0000 0.0000 0.0000
La2 0.1396 0.2857 0.0000
La3 0.1510 0.5842 0.5000
Tl1 0.1048 0.8435 0.5000
Si1 0.0000 0.5000 0.0000